Record 1
Density functional theory data (PBE) for crystalline Na2TcWN4 at its relaxed geometry.

Cell lengths 6.6645, 6.1058, 5.9302 Å; angles 90.00, 90.00, 90.00 degrees
Last column: nearest neighbours and their distance in Å.
Positions (direct):
Na1 0.2438 0.2368 0.0000  3 N 2.39-2.67
Na2 0.2562 0.7632 0.5000  3 N 2.39-2.67
Na3 0.7438 0.7632 0.5000  3 N 2.39-2.67
Na4 0.7562 0.2368 0.0000  3 N 2.39-2.67
Tc1 0.0000 0.6965 0.9994  4 N 1.89-1.91
Tc2 0.5000 0.3035 0.4994  4 N 1.89-1.91
W1 0.0000 0.3177 0.4995  4 N 1.87-1.93
W2 0.5000 0.6823 0.9995  4 N 1.87-1.93
N1 0.0000 0.4926 0.7590  1 W 1.87, 1 Tc 1.89
N2 0.0000 0.4940 0.2411  1 W 1.87, 1 Tc 1.89
N3 0.2483 0.1546 0.4983  1 Tc 1.91, 1 W 1.93
N4 0.2517 0.8454 0.9983  1 Tc 1.91, 1 W 1.93
N5 0.5000 0.5060 0.7411  1 W 1.87, 1 Tc 1.89
N6 0.5000 0.5074 0.2590  1 W 1.87, 1 Tc 1.89
N7 0.7483 0.8454 0.9983  1 Tc 1.91, 1 W 1.93
N8 0.7517 0.1546 0.4983  1 Tc 1.91, 1 W 1.93

Summary:
Crystal system ... orthorhombic
Raw total energy ... -7.650 eV/atom

Record 2
Density functional theory data (PBE) for crystalline Na2YTc2N4 at its relaxed geometry.

Cell lengths 6.0193, 6.0193, 8.6785 Å; angles 125.55, 125.55, 32.98 degrees
Last column: nearest neighbours and their distance in Å.
Positions (direct):
Na1 0.1592 0.1592 0.2653  4 N 2.52-2.60
Na2 0.8408 0.8408 0.7347  4 N 2.52-2.60
Y1 0.0000 0.0000 0.5000  6 N 2.39
Tc1 0.3514 0.3514 0.1235  4 N 1.88-2.07
Tc2 0.6486 0.6486 0.8765  4 N 1.88-2.07
N1 0.2203 0.2203 0.8234  3 Tc 2.07
N2 0.4548 0.4548 0.6504  1 Tc 1.88
N3 0.5452 0.5452 0.3496  1 Tc 1.88
N4 0.7797 0.7797 0.1766  3 Tc 2.07

Summary:
Crystal system ... monoclinic
Raw total energy ... -7.428 eV/atom

Record 3
Density functional theory data (PBE) for crystalline NaTe2N at its relaxed geometry.

Cell lengths 6.8817, 6.8817, 6.8817 Å; angles 45.01, 45.01, 45.01 degrees
Last column: nearest neighbours and their distance in Å.
Positions (direct):
Na1 0.0000 0.0000 0.0000  6 Te 3.25
Te1 0.3956 0.3956 0.3956  1 N 1.93
Te2 0.6044 0.6044 0.6044  1 N 1.93
N1 0.5000 0.5000 0.5000  2 Te 1.93

Summary:
Crystal system ... trigonal
Excess energy over the best structure of this formula in the dataset ... 51 meV/atom
Raw total energy ... -3.558 eV/atom

Record 4
Density functional theory data (PBE) for crystalline Na7TeN12 at its relaxed geometry.

Cell lengths 8.6868, 8.6868, 8.6868 Å; angles 115.21, 115.21, 115.21 degrees
Last column: nearest neighbours and their distance in Å.
Positions (direct):
Na1 0.0000 0.0000 0.0000  2 Te 2.90
Na2 0.2269 0.5232 0.6748  4 N 2.42-2.61
Na3 0.3252 0.7731 0.4768  4 N 2.42-2.61
Na4 0.4768 0.3252 0.7731  4 N 2.42-2.61
Na5 0.5232 0.6748 0.2269  4 N 2.42-2.61
Na6 0.6748 0.2269 0.5232  4 N 2.42-2.61
Na7 0.7731 0.4768 0.3252  4 N 2.42-2.61
Te1 0.5000 0.5000 0.5000  2 Na 2.90
N1 0.0599 0.8931 0.3762  1 N 1.17
N2 0.1069 0.6238 0.9401  1 N 1.17
N3 0.1580 0.2571 0.7575  1 N 1.17
N4 0.2425 0.8420 0.7429  1 N 1.17
N5 0.2571 0.7575 0.1580  1 N 1.17
N6 0.3762 0.0599 0.8931  1 N 1.17
N7 0.6238 0.9401 0.1069  1 N 1.17
N8 0.7429 0.2425 0.8420  1 N 1.17
N9 0.7575 0.1580 0.2571  1 N 1.17
N10 0.8420 0.7429 0.2425  1 N 1.17
N11 0.8931 0.3762 0.0599  1 N 1.17
N12 0.9401 0.1069 0.6238  1 N 1.17

Summary:
Crystal system ... trigonal
Raw total energy ... -5.731 eV/atom

Repeat the third record exactly.
Density functional theory data (PBE) for crystalline NaTe2N at its relaxed geometry.

Cell lengths 6.8817, 6.8817, 6.8817 Å; angles 45.01, 45.01, 45.01 degrees
Last column: nearest neighbours and their distance in Å.
Positions (direct):
Na1 0.0000 0.0000 0.0000  6 Te 3.25
Te1 0.3956 0.3956 0.3956  1 N 1.93
Te2 0.6044 0.6044 0.6044  1 N 1.93
N1 0.5000 0.5000 0.5000  2 Te 1.93

Summary:
Crystal system ... trigonal
Excess energy over the best structure of this formula in the dataset ... 51 meV/atom
Raw total energy ... -3.558 eV/atom